Material: BaLiTl2Cd4
Method: DFT, PBE-GGA
State: optimized geometry

**Calculated density**: 7595 kg/m3
**Total DFT energy (no corrections)**: -0.0624 Ha/atom

a b c (Å): 5.095 5.095 10.185
angles (deg): 75.52 75.52 60.00
Positions (direct):
1 Cd 0.861 0.861 0.417
2 Cd 0.139 0.139 0.583
3 Cd 0.599 0.599 0.203
4 Cd 0.401 0.401 0.797
5 Tl 0.754 0.754 0.739
6 Tl 0.246 0.246 0.261
7 Li 0.500 0.500 0.500
8 Ba 0.000 0.000 0.000



Material: Ac4PmDy
Method: DFT, PBE-GGA
State: optimized geometry

**Calculated density**: 8202 kg/m3
**Energy above the lowest structure with this stoichiometry**: 0 meV/atom
**Total DFT energy (no corrections)**: -0.1524 Ha/atom

a b c (Å): 6.245 7.452 10.576
angles (deg): 90.00 90.00 90.00
Positions (direct):
1 Pm 0.000 0.250 0.000
2 Pm 0.000 0.750 0.000
3 Ac 0.500 0.000 0.170
4 Ac 0.000 0.000 0.332
5 Ac 0.500 0.500 0.830
6 Ac 0.000 0.500 0.668
7 Ac 0.000 0.500 0.332
8 Ac 0.000 0.000 0.668
9 Ac 0.500 0.500 0.170
10 Ac 0.500 0.000 0.830
11 Dy 0.500 0.250 0.500
12 Dy 0.500 0.750 0.500



Material: TbDy6ErTm2
Method: DFT, PBE-GGA
State: optimized geometry

**Calculated density**: 8662 kg/m3
**Total DFT energy (no corrections)**: -0.1637 Ha/atom

a b c (Å): 9.453 8.703 8.703
angles (deg): 117.76 93.75 93.75
Positions (direct):
1 Dy 0.556 0.753 0.123
2 Dy 0.619 0.494 0.709
3 Dy 0.381 0.506 0.291
4 Dy 0.684 0.017 0.567
5 Dy 0.944 0.877 0.247
6 Dy 0.056 0.123 0.753
7 Dy 0.881 0.291 0.506
8 Dy 0.444 0.247 0.877
9 Dy 0.184 0.567 0.017
10 Dy 0.816 0.433 0.983
11 Dy 0.316 0.983 0.433
12 Dy 0.119 0.709 0.494
13 Tm 0.955 0.697 0.802
14 Tm 0.045 0.303 0.198
15 Tm 0.545 0.198 0.303
16 Tm 0.455 0.802 0.697
17 Er 0.250 0.409 0.591
18 Er 0.750 0.591 0.409
19 Tb 0.250 0.975 0.025
20 Tb 0.750 0.025 0.975



Number 1: energy of formation -0.1701 eV per atom, total moment 0.00 μB per cell. Number 2: energy of formation 0.1500 eV per atom, total moment 0.00 μB per cell. Number 3: energy of formation 0.1213 eV per atom, total moment 0.00 μB per cell.